Entry 1:
The following is a PBE-GGA calculation of crystalline Y2NbAs at its relaxed geometry, from the Alexandria database.

The structure in CIF format:
```
data_Y2NbAs
_chemical_formula_sum 'Y8 Nb4 As4'
_space_group_name_H-M_alt 'I -4 2 d'
_space_group_IT_number 122
_space_group_name_Hall 'I -4 2bw'
_cell_length_a 8.417
_cell_length_b 8.417
_cell_length_c 5.551
_cell_angle_alpha 90.00
_cell_angle_beta 90.00
_cell_angle_gamma 90.00
loop_
_atom_site_label
_atom_site_type_symbol
_atom_site_fract_x
_atom_site_fract_y
_atom_site_fract_z
_atom_site_occupancy
Y1 Y 0.198 0.250 0.125 1
Nb1 Nb 0.000 0.000 0.500 1
As1 As 0.000 0.000 0.000 1
```

Results
As for the formation energy: 96 meV/atom.

---

Entry 2:
The following is a PBE-GGA calculation of crystalline Nb2ZnAs at its relaxed geometry, from the Alexandria database.

The structure in CIF format:
```
data_Nb2ZnAs
_chemical_formula_sum 'Nb8 Zn4 As4'
_space_group_name_H-M_alt 'F m -3 m'
_space_group_IT_number 225
_space_group_name_Hall '-F 4 2 3'
_cell_length_a 6.415
_cell_length_b 6.415
_cell_length_c 6.415
_cell_angle_alpha 90.00
_cell_angle_beta 90.00
_cell_angle_gamma 90.00
loop_
_atom_site_label
_atom_site_type_symbol
_atom_site_fract_x
_atom_site_fract_y
_atom_site_fract_z
_atom_site_occupancy
Nb1 Nb 0.250 0.250 0.250 1
Zn1 Zn 0.000 0.000 0.000 1
As1 As 0.000 0.000 0.500 1
```

Results
As for the formation energy: -33 meV/atom. The value obtained for the relative energy among the computed polymorphs is 0.0 meV/atom.

---

Entry 3:
The following is a PBE-GGA calculation of crystalline Nb2ZnAs at its relaxed geometry, from the Alexandria database.

The structure in CIF format:
```
data_Nb2ZnAs
_chemical_formula_sum 'Nb8 Zn4 As4'
_space_group_name_H-M_alt 'I -4 2 d'
_space_group_IT_number 122
_space_group_name_Hall 'I -4 2bw'
_cell_length_a 3.889
_cell_length_b 3.889
_cell_length_c 19.259
_cell_angle_alpha 90.00
_cell_angle_beta 90.00
_cell_angle_gamma 90.00
loop_
_atom_site_label
_atom_site_type_symbol
_atom_site_fract_x
_atom_site_fract_y
_atom_site_fract_z
_atom_site_occupancy
Nb1 Nb 0.250 0.250 0.125 1
Zn1 Zn 0.000 0.000 0.000 1
As1 As 0.000 0.000 0.500 1
```

Results
As for the formation energy: 206 meV/atom. The value obtained for the relative energy among the computed polymorphs is 239.2 meV/atom.

---

Entry 4:
The following is a PBE-GGA calculation of crystalline NbZn2As at its relaxed geometry, from the Alexandria database.

The structure in CIF format:
```
data_NbZn2As
_chemical_formula_sum 'Nb4 Zn8 As4'
_space_group_name_H-M_alt 'I -4 2 d'
_space_group_IT_number 122
_space_group_name_Hall 'I -4 2bw'
_cell_length_a 7.385
_cell_length_b 7.385
_cell_length_c 5.123
_cell_angle_alpha 90.00
_cell_angle_beta 90.00
_cell_angle_gamma 90.00
loop_
_atom_site_label
_atom_site_type_symbol
_atom_site_fract_x
_atom_site_fract_y
_atom_site_fract_z
_atom_site_occupancy
Nb1 Nb 0.000 0.000 0.000 1
Zn1 Zn 0.228 0.750 0.625 1
As1 As 0.000 0.000 0.500 1
```

Results
As for the formation energy: 125 meV/atom.

---

Entry 5:
The following is a PBE-GGA calculation of crystalline Nb2Zn2As at its relaxed geometry, from the Alexandria database.

The structure in CIF format:
```
data_Nb2Zn2As
_chemical_formula_sum 'Nb4 Zn4 As2'
_space_group_name_H-M_alt 'P 4/m b m'
_space_group_IT_number 127
_space_group_name_Hall '-P 4 2ab'
_cell_length_a 6.627
_cell_length_b 6.627
_cell_length_c 4.121
_cell_angle_alpha 90.00
_cell_angle_beta 90.00
_cell_angle_gamma 90.00
loop_
_atom_site_label
_atom_site_type_symbol
_atom_site_fract_x
_atom_site_fract_y
_atom_site_fract_z
_atom_site_occupancy
Nb1 Nb 0.153 0.347 0.000 1
Zn1 Zn 0.145 0.645 0.500 1
As1 As 0.000 0.000 0.000 1
```

Results
As for the formation energy: -101 meV/atom.

---

Entry 6:
The following is a PBE-GGA calculation of crystalline Zr3NbAs at its relaxed geometry, from the Alexandria database.

The structure in CIF format:
```
data_Zr3NbAs
_chemical_formula_sum 'Zr3 Nb1 As1'
_space_group_name_H-M_alt 'P m -3 m'
_space_group_IT_number 221
_space_group_name_Hall '-P 4 2 3'
_cell_length_a 4.963
_cell_length_b 4.963
_cell_length_c 4.963
_cell_angle_alpha 90.00
_cell_angle_beta 90.00
_cell_angle_gamma 90.00
loop_
_atom_site_label
_atom_site_type_symbol
_atom_site_fract_x
_atom_site_fract_y
_atom_site_fract_z
_atom_site_occupancy
Zr1 Zr 0.000 0.000 0.500 1
Nb1 Nb 0.500 0.500 0.500 1
As1 As 0.000 0.000 0.000 1
```

Results
As for the formation energy: 252 meV/atom. The value obtained for the relative energy among the computed polymorphs is 0.0 meV/atom.

---

Entry 7:
The following is a PBE-GGA calculation of crystalline ZrNbAs at its relaxed geometry, from the Alexandria database.

The structure in CIF format:
```
data_ZrNbAs
_chemical_formula_sum 'Zr4 Nb4 As4'
_space_group_name_H-M_alt 'C m c 21'
_space_group_IT_number 36
_cell_length_a 3.400
_cell_length_b 13.938
_cell_length_c 4.745
_cell_angle_alpha 90.00
_cell_angle_beta 90.00
_cell_angle_gamma 90.00
loop_
_space_group_symop_operation_xyz
'x,y,z'
'-x,-y,z+1/2'
'-x,y,z'
'x,-y,z+1/2'
'x+1/2,y+1/2,z'
'-x+1/2,-y+1/2,z+1/2'
'-x+1/2,y+1/2,z'
'x+1/2,-y+1/2,z+1/2'
loop_
_atom_site_label
_atom_site_type_symbol
_atom_site_fract_x
_atom_site_fract_y
_atom_site_fract_z
_atom_site_occupancy
Zr1 Zr 0.000 0.076 0.000 1
Nb1 Nb 0.000 0.245 0.362 1
As1 As 0.000 0.402 0.006 1
```

Results
As for the formation energy: -568 meV/atom.

---

Entry 8:
The following is a PBE-GGA calculation of crystalline ZrNbAs at its relaxed geometry, from the Alexandria database.

The structure in CIF format:
```
data_ZrNbAs
_chemical_formula_sum 'Zr4 Nb4 As4'
_space_group_name_H-M_alt 'C m c m'
_space_group_IT_number 63
_space_group_name_Hall '-C 2c 2'
_cell_length_a 4.323
_cell_length_b 15.375
_cell_length_c 3.548
_cell_angle_alpha 90.00
_cell_angle_beta 90.00
_cell_angle_gamma 90.00
loop_
_atom_site_label
_atom_site_type_symbol
_atom_site_fract_x
_atom_site_fract_y
_atom_site_fract_z
_atom_site_occupancy
Zr1 Zr 0.000 0.086 0.250 1
Nb1 Nb 0.000 0.242 0.750 1
As1 As 0.000 0.379 0.250 1
```

Results
As for the formation energy: -573 meV/atom.

---

Entry 9:
The following is a PBE-GGA calculation of crystalline ZrNbAs at its relaxed geometry, from the Alexandria database.

The structure in CIF format:
```
data_ZrNbAs
_chemical_formula_sum 'Zr4 Nb4 As4'
_space_group_name_H-M_alt 'C 1 m 1'
_space_group_IT_number 8
_cell_length_a 9.822
_cell_length_b 3.554
_cell_length_c 6.670
_cell_angle_alpha 90.00
_cell_angle_beta 99.37
_cell_angle_gamma 90.00
loop_
_space_group_symop_operation_xyz
'x,y,z'
'x,-y,z'
'x+1/2,y+1/2,z'
'x+1/2,-y+1/2,z'
loop_
_atom_site_label
_atom_site_type_symbol
_atom_site_fract_x
_atom_site_fract_y
_atom_site_fract_z
_atom_site_occupancy
Zr1 Zr 0.000 0.000 0.000 1
Zr2 Zr 0.236 0.500 0.300 1
Nb1 Nb 0.076 0.000 0.558 1
Nb2 Nb 0.359 0.000 0.660 1
As1 As 0.202 0.500 0.862 1
As2 As 0.449 0.000 0.289 1
```

Results
As for the formation energy: -619 meV/atom.

---

Entry 10:
The following is a PBE-GGA calculation of crystalline ZrNb2As2 at its relaxed geometry, from the Alexandria database.

The structure in CIF format:
```
data_ZrNb2As2
_chemical_formula_sum 'Zr2 Nb4 As4'
_space_group_name_H-M_alt 'P 4/m b m'
_space_group_IT_number 127
_space_group_name_Hall '-P 4 2ab'
_cell_length_a 7.251
_cell_length_b 7.251
_cell_length_c 3.420
_cell_angle_alpha 90.00
_cell_angle_beta 90.00
_cell_angle_gamma 90.00
loop_
_atom_site_label
_atom_site_type_symbol
_atom_site_fract_x
_atom_site_fract_y
_atom_site_fract_z
_atom_site_occupancy
Zr1 Zr 0.000 0.000 0.000 1
Nb1 Nb 0.146 0.354 0.500 1
As1 As 0.147 0.647 0.000 1
```

Results
As for the formation energy: -590 meV/atom. The value obtained for the relative energy among the computed polymorphs is 0.0 meV/atom.

---

Entry 11:
The following is a PBE-GGA calculation of crystalline ZrNbAs at its relaxed geometry, from the Alexandria database.

The structure in CIF format:
```
data_ZrNbAs
_chemical_formula_sum 'Zr4 Nb4 As4'
_space_group_name_H-M_alt 'C 1 m 1'
_space_group_IT_number 8
_cell_length_a 10.002
_cell_length_b 3.525
_cell_length_c 7.206
_cell_angle_alpha 90.00
_cell_angle_beta 112.04
_cell_angle_gamma 90.00
loop_
_space_group_symop_operation_xyz
'x,y,z'
'x,-y,z'
'x+1/2,y+1/2,z'
'x+1/2,-y+1/2,z'
loop_
_atom_site_label
_atom_site_type_symbol
_atom_site_fract_x
_atom_site_fract_y
_atom_site_fract_z
_atom_site_occupancy
Zr1 Zr 0.000 0.000 0.000 1
Zr2 Zr 0.171 0.000 0.616 1
Nb1 Nb 0.232 0.500 0.985 1
Nb2 Nb 0.370 0.000 0.290 1
As1 As 0.162 0.500 0.316 1
As2 As 0.470 0.000 0.681 1
```

Results
As for the formation energy: -569 meV/atom.

---

Entry 12:
The following is a PBE-GGA calculation of crystalline ZrNbAs at its relaxed geometry, from the Alexandria database.

The structure in CIF format:
```
data_ZrNbAs
_chemical_formula_sum 'Zr8 Nb8 As8'
_space_group_name_H-M_alt 'C 1 2/m 1'
_space_group_IT_number 12
_cell_length_a 16.116
_cell_length_b 3.534
_cell_length_c 8.779
_cell_angle_alpha 90.00
_cell_angle_beta 92.97
_cell_angle_gamma 90.00
loop_
_space_group_symop_operation_xyz
'x,y,z'
'-x,-y,-z'
'-x,y,-z'
'x,-y,z'
'x+1/2,y+1/2,z'
'-x+1/2,-y+1/2,-z'
'-x+1/2,y+1/2,-z'
'x+1/2,-y+1/2,z'
loop_
_atom_site_label
_atom_site_type_symbol
_atom_site_fract_x
_atom_site_fract_y
_atom_site_fract_z
_atom_site_occupancy
Zr1 Zr 0.040 0.000 0.335 1
Zr2 Zr 0.094 0.500 0.849 1
Nb1 Nb 0.239 0.000 0.372 1
Nb2 Nb 0.247 0.000 0.873 1
As1 As 0.132 0.000 0.095 1
As2 As 0.134 0.000 0.613 1
```

Results
As for the formation energy: -358 meV/atom.

---

> What is the formula in the eighth record?

ZrNbAs

---

> Which formula does entry 1 have?

Y2NbAs